Below is a relaxed Pa2Tc3Ge crystal, with properties calculated at the PBE level. Values from VASP.

Structure (Quantum ESPRESSO input):
```
&SYSTEM
  ibrav = 0, nat = 6, ntyp = 3
/
ATOMIC_SPECIES
Pa 231.04 Pa.upf
Tc 98.00 Tc.upf
Ge 72.64 Ge.upf
CELL_PARAMETERS angstrom
2.7633 1.5954 4.1219
-2.7633 1.5954 4.1219
0.0000 -3.1908 4.1219
ATOMIC_POSITIONS crystal
Pa 0.1185 0.1185 0.1185
Pa 0.8815 0.8815 0.8815
Tc 0.0000 0.5000 0.5000
Tc 0.5000 0.0000 0.5000
Tc 0.5000 0.5000 0.0000
Ge 0.5000 0.5000 0.5000
```

**Volume**: 18.172 A^3/atom
**E**: -0.6946 Ry/atom
**DOS(E_F)**: 1.6174 states/eV/atom
**Total magnetic moment**: 0.0 μB/f.u.
**Space group**: R-3m, No. 166
**Formation energy**: -332.8 meV/atom